Crystalline ScZn5Pd6 at its relaxed geometry, computed with PBE.

abc: 4.128 7.015 6.536
angles: 90.00 108.38 90.00
Positions (direct):
Pd1 0.169 0.256 0.337
Pd2 0.500 0.256 0.000
Zn1 0.329 0.000 0.659
Zn2 0.671 0.000 0.341
Pd3 0.169 0.744 0.337
Pd4 0.831 0.744 0.663
Zn3 0.000 0.500 0.000
Zn4 0.665 0.500 0.329
Pd5 0.500 0.744 0.000
Pd6 0.831 0.256 0.663
Zn5 0.335 0.500 0.671
Sc1 0.000 0.000 0.000

Output
formation enthalpy at 0 K: -0.638 eV/atom
E_tot: -51.5 eV/cell
DOS at the Fermi energy: 0.163 states/eV/atom